{"formula": "CaSm2Co", "functional": "GGA-PBE", "state": "optimized geometry", "relative_energy_ev_per_fu": 0.29, "spacegroup": "P4/mmm (123)", "total_magnetization_mub_per_fu": 0.72, "delta_e_f_kj_per_mol_fu": 4, "lattice": [[3.4850, 0.0000, 0.0000], [0.0000, 3.4850, 0.0000], [0.0000, 0.0000, 9.5769]], "species": ["Ca", "Sm", "Sm", "Co"], "frac_coords": [[0.0000, 0.0000, 0.0000], [0.5000, 0.5000, 0.3296], [0.5000, 0.5000, 0.6704], [0.0000, 0.0000, 0.5000]]}

=====

{"formula": "Y2BeIn", "functional": "GGA-PBE", "state": "optimized geometry", "relative_energy_ev_per_fu": 0.62, "spacegroup": "R3m (160)", "total_magnetization_mub_per_fu": 0.15, "delta_e_f_kj_per_mol_fu": -25, "lattice": [[2.1826, 1.2601, 6.1277], [-2.1826, 1.2601, 6.1277], [0.0000, -2.5203, 6.1277]], "species": ["Y", "Y", "Be", "In"], "frac_coords": [[0.0000, 0.0000, 0.0000], [0.1996, 0.1996, 0.1996], [0.4103, 0.4103, 0.4103], [0.7732, 0.7732, 0.7732]]}

=====

Number 1: DOS(E_F) 4.659 states/eV/cell. Number 2: DOS(E_F) 3.654 states/eV/cell.